VASP calculation (PBE+U) on a relaxed NiIr3F crystal.

a = 4.2031 Å, b = 4.2031 Å, c = 4.2031 Å
α = 90.00°, β = 90.00°, γ = 90.00°
Space group Pm-3m (No. 221)
One atom of each set of equivalent atoms:
Ni  0.0000  0.0000  0.0000 [1 per cell]
Ir  0.0000  0.5000  0.5000 [3 per cell]
F  0.5000  0.5000  0.5000 [1 per cell]

Computed properties:
D(E_F): 11.5 states/eV per cell
spin magnetization: 0.6 Bohr magnetons per cell
final energy: -22.03 eV/cell
distance to the lowest polymorph of the same formula: 0 meV/atom